Model one:
! LiCu2Re | Alexandria via LeMat-Bulk | GGA-PBE | optimized geometry; values from VASP
! Calculated volume in Å³ per atom: 13.2
! Space group: Pmmm (47)
! N(E_F) in states/eV per cell: 1.72
&SYSTEM
  ibrav = 0, nat = 4, ntyp = 3
/
ATOMIC_SPECIES
Li 6.94 Li.upf
Cu 63.55 Cu.upf
Re 186.21 Re.upf
ATOMIC_POSITIONS angstrom
Li 1.2485 1.9737 1.3439
Cu 0.0000 0.0000 5.3332
Re 1.2485 1.9737 4.0318
Cu 0.0000 0.0000 2.7304
CELL_PARAMETERS angstrom
2.4969 0.0000 0.0000
0.0000 3.9473 0.0000
0.0000 0.0000 5.3757

Model two:
! LiCu2Re | Alexandria via LeMat-Bulk | GGA-PBE | optimized geometry; values from VASP
! Calculated volume in Å³ per atom: 13.0
! Space group: Fm-3m (225)
! N(E_F) in states/eV per cell: 3.78
&SYSTEM
  ibrav = 0, nat = 4, ntyp = 3
/
ATOMIC_SPECIES
Cu 63.55 Cu.upf
Li 6.94 Li.upf
Re 186.21 Re.upf
ATOMIC_POSITIONS angstrom
Cu 2.8567 1.3470 7.0244
Cu 0.9522 0.4490 2.3415
Li 0.0000 0.0000 0.0000
Re 1.9044 0.8980 4.6829
CELL_PARAMETERS angstrom
3.5045 0.1765 2.2940
0.3602 2.8410 3.0618
-0.0559 -1.2214 4.0100

Model three:
! LiCu2Re | Alexandria via LeMat-Bulk | GGA-PBE | optimized geometry; values from VASP
! Calculated volume in Å³ per atom: 13.3
! Space group: Cm (8)
! N(E_F) in states/eV per cell: 2.92
&SYSTEM
  ibrav = 0, nat = 4, ntyp = 3
/
ATOMIC_SPECIES
Li 6.94 Li.upf
Cu 63.55 Cu.upf
Re 186.21 Re.upf
ATOMIC_POSITIONS angstrom
Li 5.1818 1.3740 2.5361
Cu 7.5748 2.0085 3.0993
Cu 0.2237 0.0593 0.2767
Re 2.6984 0.7155 0.7847
CELL_PARAMETERS angstrom
4.9369 0.0044 0.0218
4.2905 2.4423 0.0218
1.2251 0.3249 4.4209

Stability check: which of them is most stable? model three.

Model one:
! LiCu2Re | Alexandria via LeMat-Bulk | GGA-PBE | optimized geometry; values from VASP
! Calculated volume in Å³ per atom: 13.1
! Space group: C2/m (12)
! N(E_F) in states/eV per cell: 3.46
&SYSTEM
  ibrav = 0, nat = 4, ntyp = 3
/
ATOMIC_SPECIES
Re 186.21 Re.upf
Li 6.94 Li.upf
Cu 63.55 Cu.upf
ATOMIC_POSITIONS angstrom
Re 2.2246 0.6407 1.2015
Li 6.6738 1.9220 3.6046
Cu 8.3387 2.4015 -0.0102
Cu 4.4783 1.2897 2.4007
CELL_PARAMETERS angstrom
4.5307 0.0006 -0.0063
3.8370 2.4093 -0.0063
0.5306 0.1528 4.8186

Model two:
! LiCu2Re | Alexandria via LeMat-Bulk | GGA-PBE | optimized geometry; values from VASP
! Calculated volume in Å³ per atom: 13.2
! Space group: P2/m (10)
! N(E_F) in states/eV per cell: 2.82
&SYSTEM
  ibrav = 0, nat = 4, ntyp = 3
/
ATOMIC_SPECIES
Cu 63.55 Cu.upf
Li 6.94 Li.upf
Re 186.21 Re.upf
ATOMIC_POSITIONS angstrom
Cu 0.0000 2.0308 2.7815
Cu 0.0000 1.8748 5.3803
Li 1.9650 1.0699 1.3747
Re 1.9650 3.2096 4.1241
CELL_PARAMETERS angstrom
3.9301 0.0000 0.0000
0.0000 2.5136 0.0864
0.0000 1.7658 5.4124

Model three:
! LiCu2Re | Alexandria via LeMat-Bulk | GGA-PBE | optimized geometry; values from VASP
! Calculated volume in Å³ per atom: 13.3
! Space group: I-42d (122)
! N(E_F) in states/eV per cell: 7.02
&SYSTEM
  ibrav = 0, nat = 8, ntyp = 3
/
ATOMIC_SPECIES
Cu 63.55 Cu.upf
Li 6.94 Li.upf
Re 186.21 Re.upf
ATOMIC_POSITIONS angstrom
Cu 4.3631 4.3432 6.5538
Li 1.7452 3.4904 4.3692
Cu 2.6178 2.6377 6.5538
Cu 0.8925 2.6178 2.1846
Cu 2.5980 0.8726 2.1846
Re 3.4904 1.7452 4.3692
Li 1.7452 1.7452 0.0000
Re 0.0000 0.0000 0.0000
CELL_PARAMETERS angstrom
3.4904 0.0000 0.0000
0.0000 3.4904 0.0000
1.7452 1.7452 8.7384

Stability check: which of them is most stable? model two.